A plane-wave DFT calculation with PBE was carried out for a relaxed structure of CaGdTlIn.

Cell lengths 5.4355, 5.4355, 5.4355 Å; angles 60.00, 60.00, 60.00 degrees
Closest atoms and distances in Å follow each position.
Fractional coordinates of all 4 atoms:
Ca: 0.7500 0.7500 0.7500  4 Tl 3.33, 4 In 3.33
Tl: 0.0000 0.0000 0.0000  4 Ca 3.33, 4 Gd 3.33
In: 0.5000 0.5000 0.5000  4 Gd 3.33, 4 Ca 3.33
Gd: 0.2500 0.2500 0.2500  4 Tl 3.33, 4 In 3.33

Size of the total moment in μB per formula unit: 7.1
ΔE_f in eV per atom: -0.4297
Crystal system: cubic
Space-group type: F-43m (216)